The following is a DFT calculation (PBE+U) of RbVOF2 after structural relaxation.

a b c (Å): 4.301 4.301 3.829
angles (deg): 90.00 90.00 90.00
Fractional coordinates of all 5 atoms:
Rb (0.000, 0.000, 0.000)
V (0.500, 0.500, 0.500)
O (0.500, 0.500, 0.000)
F (0.000, 0.500, 0.500)
F (0.500, 0.000, 0.500)

- ΔE to the lowest computed polymorph (meV per atom) = 0.0